The following is a GGA-PBE calculation of an optimized crystal structure of TmScAlTl, from the Alexandria database.

```
TmScAlTl
1.0
-2.964 -2.754 -3.069
-2.658 -3.904 1.868
-5.053 0.323 0.389
Sc Tm Tl Al
1 1 1 1
direct
0.000 0.000 0.000
0.500 0.500 0.500
0.750 0.750 0.750
0.250 0.250 0.250
```

Crystal system: cubic
SG: F-43m (216)
Formation energy, eV/atom: -0.290
Relative energy among the computed polymorphs, meV per atom: 37

The following is a GGA-PBE calculation of an optimized crystal structure of Sc2AlTlW, from the Alexandria database.

```
Sc2AlTlW
1.0
-1.003 -2.804 -4.055
3.264 -3.129 1.356
-3.493 -2.516 2.604
Al Tl W Sc
1 1 1 2
direct
0.000 0.000 0.000
0.500 0.500 0.500
0.000 0.500 0.000
0.000 0.000 0.500
0.500 0.000 0.000
```

Crystal system: tetragonal
SG: P4/mmm (123)
Formation energy, eV/atom: 0.709

The following is a GGA-PBE calculation of an optimized crystal structure of YScAlTl, from the Alexandria database.

```
YScAlTl
1.0
-3.175 2.973 2.691
-4.941 -1.255 0.419
-1.853 -1.633 4.479
Al Tl Y Sc
1 1 1 1
direct
0.750 0.750 0.750
0.250 0.250 0.250
0.500 0.500 0.500
0.000 0.000 0.000
```

Crystal system: cubic
SG: F-43m (216)
Formation energy, eV/atom: -0.316

The following is a GGA-PBE calculation of an optimized crystal structure of ScAlTl2Zn, from the Alexandria database.

```
ScAlTl2Zn
1.0
-3.700 -1.466 -3.562
-2.748 -1.520 3.481
-2.243 4.835 0.340
Tl Al Zn Sc
2 1 1 1
direct
0.000 0.000 0.500
0.500 0.000 0.000
0.000 0.000 0.000
0.000 0.500 0.000
0.500 0.500 0.500
```

Crystal system: tetragonal
SG: P4/mmm (123)
Formation energy, eV/atom: 0.430

The following is a GGA-PBE calculation of an optimized crystal structure of ZrSc5AlTl2, from the Alexandria database.

```
ZrSc5AlTl2
1.0
7.608 0.000 0.000
0.000 7.608 0.000
-3.804 -3.804 7.497
Sc Zr Tl Al
10 2 4 2
direct
0.140 0.066 0.706
0.860 0.934 0.294
0.566 0.640 0.706
0.434 0.360 0.294
0.360 0.860 0.294
0.500 0.500 0.000
0.000 0.000 0.000
0.066 0.566 0.706
0.934 0.434 0.294
0.640 0.140 0.706
0.750 0.750 0.500
0.250 0.250 0.500
0.127 0.373 0.000
0.373 0.873 0.000
0.873 0.627 0.000
0.627 0.127 0.000
0.750 0.250 0.500
0.250 0.750 0.500
```

Crystal system: tetragonal
SG: I4/mcm (140)
Formation energy, eV/atom: 0.043

The following is a GGA-PBE calculation of an optimized crystal structure of Tm2ScAl, from the Alexandria database.

```
Tm2ScAl
1.0
-2.420 -2.036 1.291
1.851 -2.741 -0.854
3.909 0.239 7.704
Tm Sc Al
2 1 1
direct
0.000 0.000 0.775
0.000 0.000 0.225
0.500 0.500 0.500
0.500 0.500 0.000
```

Crystal system: tetragonal
SG: P4/mmm (123)
Formation energy, eV/atom: -0.188
Relative energy among the computed polymorphs, meV per atom: 17

The following is a GGA-PBE calculation of an optimized crystal structure of TmScAl, from the Alexandria database.

```
TmScAl
1.0
-2.215 0.396 2.053
-0.052 -4.928 0.895
3.004 2.997 2.662
Al Sc Tm
1 1 1
direct
0.667 0.667 0.333
0.167 0.000 0.000
0.166 0.333 0.667
```

Crystal system: hexagonal
SG: P-6m2 (187)
Formation energy, eV/atom: -0.048
Relative energy among the computed polymorphs, meV per atom: 248

The following is a GGA-PBE calculation of an optimized crystal structure of TmScAl, from the Alexandria database.

```
TmScAl
1.0
-2.918 1.459 0.406
-1.232 -2.799 1.208
3.803 2.474 5.137
Tm Al Sc
1 1 1
direct
0.295 0.295 0.590
0.956 0.956 0.911
0.600 0.600 0.199
```

Crystal system: tetragonal
SG: I4mm (107)
Formation energy, eV/atom: -0.274
Relative energy among the computed polymorphs, meV per atom: 22

The following is a GGA-PBE calculation of an optimized crystal structure of Tm3ScAl3, from the Alexandria database.

```
Tm3ScAl3
1.0
-3.524 5.712 2.166
0.774 -1.776 6.781
5.754 3.456 0.248
Tm Al Sc
6 6 2
direct
0.254 0.254 0.500
0.746 0.746 0.500
0.748 0.252 0.500
0.252 0.748 0.500
0.281 0.719 0.000
0.719 0.281 0.000
0.000 0.500 0.764
0.000 0.000 0.227
0.000 0.500 0.236
0.000 0.000 0.773
0.500 0.000 0.236
0.500 0.000 0.764
0.755 0.755 0.000
0.245 0.245 0.000
```

Crystal system: orthorhombic
SG: Cmmm (65)
Formation energy, eV/atom: -0.269

The following is a GGA-PBE calculation of an optimized crystal structure of Tm2Sc2Al3, from the Alexandria database.

```
Tm2Sc2Al3
1.0
3.920 0.011 0.010
-1.940 7.973 1.297
0.006 0.015 5.495
Sc Al Tm
2 3 2
direct
0.895 0.798 0.544
0.105 0.202 0.456
0.733 0.463 0.366
0.267 0.537 0.634
0.000 0.000 0.000
0.353 0.705 0.076
0.647 0.295 0.924
```

Crystal system: triclinic
SG: P-1 (2)
Formation energy, eV/atom: -0.178
Relative energy among the computed polymorphs, meV per atom: 100

The following is a GGA-PBE calculation of an optimized crystal structure of Tm5Sc2Al4, from the Alexandria database.

```
Tm5Sc2Al4
1.0
-4.192 -2.803 0.354
5.427 -7.646 3.718
-1.535 7.307 3.586
Tm Sc Al
5 2 4
direct
0.787 0.445 0.575
0.500 0.000 0.000
0.787 0.130 0.575
0.213 0.555 0.425
0.213 0.870 0.425
0.826 0.826 0.652
0.174 0.174 0.348
0.393 0.393 0.787
0.000 0.184 0.000
0.000 0.816 0.000
0.607 0.607 0.213
```

Crystal system: orthorhombic
SG: Immm (71)
Formation energy, eV/atom: 0.167

The following is a GGA-PBE calculation of an optimized crystal structure of TmSc2Al6, from the Alexandria database.

```
TmSc2Al6
1.0
-2.460 -0.745 2.017
4.084 -6.026 2.756
0.635 6.993 3.358
Sc Al Tm
2 6 1
direct
0.000 0.333 0.667
0.000 0.667 0.333
0.500 0.664 0.000
0.500 0.336 0.336
0.500 0.664 0.664
0.500 0.000 0.664
0.500 0.336 0.000
0.500 0.000 0.336
0.000 0.000 0.000
```

Crystal system: hexagonal
SG: P6/mmm (191)
Formation energy, eV/atom: -0.464

Q: formation energy of number 7 (TmScAl)?
A: -0.048 eV/atom